! Nb2RuPtI | the Alexandria database | GGA-PBE | relaxed; values from VASP
! - Uncorrected formation energy: 1291 meV/atom
! - Offset from the most stable computed form: 0 meV per atom
! - VASP energy: -6.11 eV per atom
! - D(E_F): 6.500 states/eV/f.u.
! - Size of the total moment: 0.02 μB/cell
&SYSTEM
  ibrav = 0, nat = 5, ntyp = 4
/
ATOMIC_SPECIES
Nb 92.91 Nb.upf
I 126.90 I.upf
Ru 101.07 Ru.upf
Pt 195.08 Pt.upf
ATOMIC_POSITIONS crystal
Nb 0.0000 0.0000 0.5000
Nb 0.5000 0.0000 0.0000
I 0.0000 0.5000 0.0000
Ru 0.0000 0.0000 0.0000
Pt 0.5000 0.5000 0.5000
CELL_PARAMETERS angstrom
4.8020 0.0000 0.0000
0.0000 5.0454 0.0000
0.0000 0.0000 4.8020